1.
First-principles (PBE) data for a relaxed Ce4RhPb2 crystal, as listed in Alexandria via LeMat-Bulk.

Its magnetization is 3.4 μB per formula unit. Its energy is -82.67 eV per cell. The density comes out at 9.0 g/cm³. The formation energy is -2.83 eV/f.u.

The space group is P2_1/m (No. 11) and the conventional cell measures 6.338, 6.576 and 9.759 Å, with angles of 90.00, 100.67 and 90.00 degrees. The inequivalent atoms are Ce at (0.185, 0.250, 0.097), Ce at (0.254, 0.535, 0.733), Ce at (0.294, 0.750, 0.394), Rh at (0.004, 0.750, 0.166), Pb at (0.201, 0.250, 0.440) and Pb at (0.375, 0.750, 0.050).

=====

2.
First-principles (PBE) data for a relaxed Ce2Rh3Pb crystal, as listed in Alexandria via LeMat-Bulk.

Its magnetization is 0.0 μB per formula unit. Its energy is -164.16 eV per cell. The density comes out at 10.5 g/cm³. The formation energy is -3.41 eV/f.u.

The space group is C2/c (No. 15) and the conventional cell measures 11.499, 5.430 and 8.857 Å, with angles of 90.00, 114.35 and 90.00 degrees. The inequivalent atoms are Ce at (0.182, 0.015, 0.090), Rh at (0.000, 0.194, 0.750), Rh at (0.134, 0.492, 0.572) and Pb at (0.000, 0.302, 0.250).

=====

3.
First-principles (PBE) data for a relaxed Ce4Rh2Pb crystal, as listed in Alexandria via LeMat-Bulk.

Its magnetization is 3.9 μB per formula unit. Its energy is -135.35 eV per cell. The density comes out at 8.5 g/cm³. The formation energy is -2.97 eV/f.u.

The space group is R-3m (No. 166, hexagonal axes) and the conventional cell measures 4.3121, 4.3121 and 35.4272 Å, with angles of 90.00, 90.00 and 120.00 degrees. The inequivalent atoms are Ce at (0.0000, 0.0000, 0.1081), Ce at (0.0000, 0.0000, 0.3048), Rh at (0.0000, 0.0000, 0.4002) and Pb at (0.0000, 0.0000, 0.5000).